{
  "formula": "CaMg2Tc",
  "functional": "PBE",
  "state": "relaxed",
  "lattice": [[6.966, 0.000, 0.000], [0.000, 6.966, 0.000], [0.000, 0.000, 6.966]],
  "species": ["Ca", "Ca", "Ca", "Ca", "Mg", "Mg", "Mg", "Mg", "Mg", "Mg", "Mg", "Mg", "Tc", "Tc", "Tc", "Tc"],
  "fractional_positions": [[0.000, 0.000, 0.000], [0.000, 0.500, 0.500], [0.500, 0.000, 0.500], [0.500, 0.500, 0.000], [0.000, 0.000, 0.500], [0.000, 0.500, 0.000], [0.250, 0.250, 0.750], [0.250, 0.750, 0.250], [0.500, 0.000, 0.000], [0.500, 0.500, 0.500], [0.750, 0.250, 0.250], [0.750, 0.750, 0.750], [0.250, 0.250, 0.250], [0.250, 0.750, 0.750], [0.750, 0.250, 0.750], [0.750, 0.750, 0.250]],
  "crystal_system": "cubic",
  "sg": "F-43m",
  "relative_energy_ev_per_atom": 0.1540,
  "e_form_mev_per_atom": 442
}

---

{
  "formula": "Ca2CdRe",
  "functional": "PBE",
  "state": "relaxed",
  "lattice": [[4.312, 0.000, 0.000], [0.000, 4.312, 0.000], [0.000, 0.000, 20.773]],
  "species": ["Ca", "Ca", "Ca", "Ca", "Ca", "Ca", "Ca", "Ca", "Cd", "Cd", "Cd", "Cd", "Re", "Re", "Re", "Re"],
  "fractional_positions": [[0.238, 0.250, 0.125], [0.250, 0.738, 0.375], [0.250, 0.762, 0.875], [0.262, 0.250, 0.625], [0.738, 0.750, 0.625], [0.750, 0.238, 0.875], [0.750, 0.262, 0.375], [0.762, 0.750, 0.125], [0.000, 0.000, 0.500], [0.000, 0.500, 0.750], [0.500, 0.000, 0.250], [0.500, 0.500, 0.000], [0.000, 0.000, 0.000], [0.000, 0.500, 0.250], [0.500, 0.000, 0.750], [0.500, 0.500, 0.500]],
  "crystal_system": "tetragonal",
  "sg": "I-42d",
  "e_form_mev_per_atom": 987
}

---

{
  "formula": "SrCuOs4",
  "functional": "PBE",
  "state": "relaxed",
  "lattice": [[0.000, 3.753, 3.753], [3.753, 0.000, 3.753], [3.753, 3.753, 0.000]],
  "species": ["Sr", "Cu", "Os", "Os", "Os", "Os"],
  "fractional_positions": [[0.000, 0.000, 0.000], [0.750, 0.750, 0.750], [0.376, 0.376, 0.376], [0.376, 0.376, 0.873], [0.376, 0.873, 0.376], [0.873, 0.376, 0.376]],
  "crystal_system": "cubic",
  "sg": "F-43m",
  "e_form_mev_per_atom": 728
}

---

{
  "formula": "LaSiPb",
  "functional": "PBE",
  "state": "relaxed",
  "lattice": [[7.101, 0.000, 0.000], [0.000, 7.101, 0.000], [0.000, 0.000, 7.101]],
  "species": ["La", "La", "La", "La", "Si", "Si", "Si", "Si", "Pb", "Pb", "Pb", "Pb"],
  "fractional_positions": [[0.000, 0.000, 0.000], [0.000, 0.500, 0.500], [0.500, 0.000, 0.500], [0.500, 0.500, 0.000], [0.250, 0.250, 0.750], [0.250, 0.750, 0.250], [0.750, 0.250, 0.250], [0.750, 0.750, 0.750], [0.000, 0.000, 0.500], [0.000, 0.500, 0.000], [0.500, 0.000, 0.000], [0.500, 0.500, 0.500]],
  "formation_energy_uncorrected_ev_per_atom": -0.1875,
  "crystal_system": "cubic",
  "sg": "F-43m",
  "relative_energy_ev_per_atom": 0.3558
}

---

{
  "formula": "Cr2CoSb",
  "functional": "PBE",
  "state": "relaxed",
  "lattice": [[3.756, 0.000, 0.000], [0.000, 3.756, 0.000], [0.000, 0.000, 3.953]],
  "species": ["Cr", "Cr", "Co", "Sb"],
  "fractional_positions": [[0.000, 0.500, 0.000], [0.500, 0.000, 0.000], [0.000, 0.000, 0.500], [0.500, 0.500, 0.500]],
  "formation_energy_uncorrected_ev_per_atom": 0.2709,
  "crystal_system": "tetragonal",
  "sg": "P4/mmm"
}

---

{
  "formula": "IrPdCl2",
  "functional": "PBE",
  "state": "relaxed",
  "lattice": [[3.538, 0.000, 0.000], [-1.769, 3.064, 0.000], [0.000, 0.000, 22.250]],
  "species": ["Ir", "Ir", "Ir", "Pd", "Pd", "Pd", "Cl", "Cl", "Cl", "Cl", "Cl", "Cl"],
  "fractional_positions": [[0.000, 0.000, 0.000], [0.333, 0.667, 0.667], [0.667, 0.333, 0.333], [0.000, 0.000, 0.500], [0.333, 0.667, 0.167], [0.667, 0.333, 0.833], [0.000, 0.000, 0.395], [0.000, 0.000, 0.605], [0.333, 0.667, 0.062], [0.333, 0.667, 0.272], [0.667, 0.333, 0.728], [0.667, 0.333, 0.938]],
  "formation_energy_uncorrected_ev_per_atom": 0.4978,
  "crystal_system": "trigonal",
  "sg": "R-3m",
  "relative_energy_ev_per_atom": 0.1381
}

---

Number 1: total magnetization 3.26 μB/cell. Number 2: total magnetization 0.22 μB/cell. Number 3: total magnetization 0.01 μB/cell. Number 4: total magnetization 0.00 μB/cell. Number 5: total magnetization 4.23 μB/cell. Number 6: total magnetization 1.85 μB/cell.